(1)
Here is Li3Cd2 at its PBEsol-relaxed geometry from Alexandria. Energies are from SCAN.

Computed properties:
- magnetic moment (μB per atom) = 0.0000
- crystal system = orthorhombic
- energy of formation from the pure elements (eV per atom) = -0.2700

Lattice parameters (Å, degrees): 7.4697 5.4661 8.5034 60.06 39.36 80.58
Last column: nearest neighbours and their distance in Å.
Atoms (fractional coordinates):
1 Li 0.0000 0.0000 0.0000  6 Cd 2.79-2.88, 4 Li 2.89-3.04
2 Li 0.2500 0.2500 0.2500  6 Cd 2.79-2.88, 4 Li 2.89-3.04
3 Li 0.3858 0.6467 0.4104  6 Cd 2.80-3.13, 5 Li 2.81-3.04
4 Li 0.6467 0.3858 0.5572  6 Cd 2.80-3.13, 5 Li 2.81-3.04
5 Li 0.6928 0.8396 0.6033  6 Cd 2.80-3.13, 5 Li 2.81-3.04
6 Li 0.8396 0.6928 0.8642  6 Cd 2.80-3.13, 5 Li 2.81-3.04
7 Cd 0.1104 0.4742 0.9910  9 Li 2.79-3.13, 2 Cd 2.97
8 Cd 0.2590 0.8256 0.1396  9 Li 2.79-3.13, 2 Cd 2.97
9 Cd 0.4742 0.1104 0.4244  9 Li 2.79-3.13, 2 Cd 2.97
10 Cd 0.8256 0.2590 0.7758  9 Li 2.79-3.13, 2 Cd 2.97

(2)
Here is NbInAs2Br at its PBEsol-relaxed geometry from Alexandria. Energies are from SCAN.

Computed properties:
- magnetic moment (μB per atom) = 0.4384
- crystal system = tetragonal
- formation energy from raw total energies (eV per atom) = 0.98

Lattice parameters (Å, degrees): 5.0424 5.0424 5.2399 90.00 90.00 90.00
Last column: nearest neighbours and their distance in Å.
Atoms (fractional coordinates):
1 Nb 0.0000 0.0000 0.0000  4 Br 3.57, 8 As 3.64
2 In 0.5000 0.5000 0.5000  4 As 2.52, 2 Br 2.62
3 As 0.0000 0.5000 0.5000  2 In 2.52
4 As 0.5000 0.0000 0.5000  2 In 2.52
5 Br 0.5000 0.5000 0.0000  2 In 2.62

(3)
Here is K2PF at its PBEsol-relaxed geometry from Alexandria. Energies are from SCAN.

Computed properties:
- magnetic moment (μB per atom) = 0.5000
- crystal system = cubic
- formation energy from raw total energies (eV per atom) = -0.89

Lattice parameters (Å, degrees): 7.3884 7.3884 7.3884 90.00 90.00 90.00
Last column: nearest neighbours and their distance in Å.
Atoms (fractional coordinates):
1 K 0.2500 0.2500 0.2500  4 F 3.20, 4 P 3.20
2 K 0.2500 0.2500 0.7500  4 F 3.20, 4 P 3.20
3 K 0.2500 0.7500 0.2500  4 F 3.20, 4 P 3.20
4 K 0.2500 0.7500 0.7500  4 F 3.20, 4 P 3.20
5 K 0.7500 0.2500 0.2500  4 F 3.20, 4 P 3.20
6 K 0.7500 0.2500 0.7500  4 F 3.20, 4 P 3.20
7 K 0.7500 0.7500 0.2500  4 F 3.20, 4 P 3.20
8 K 0.7500 0.7500 0.7500  4 F 3.20, 4 P 3.20
9 P 0.0000 0.0000 0.0000  8 K 3.20
10 P 0.0000 0.5000 0.5000  8 K 3.20
11 P 0.5000 0.0000 0.5000  8 K 3.20
12 P 0.5000 0.5000 0.0000  8 K 3.20
13 F 0.0000 0.0000 0.5000  8 K 3.20
14 F 0.0000 0.5000 0.0000  8 K 3.20
15 F 0.5000 0.0000 0.0000  8 K 3.20
16 F 0.5000 0.5000 0.5000  8 K 3.20

(4)
Here is PrCuSi at its PBEsol-relaxed geometry from Alexandria. Energies are from SCAN.

Computed properties:
- magnetic moment (μB per atom) = 0.0000
- crystal system = hexagonal
- formation energy from raw total energies (eV per atom) = -0.65

Lattice parameters (Å, degrees): 4.1515 4.1515 8.0318 90.00 90.00 120.00
Last column: nearest neighbours and their distance in Å.
Atoms (fractional coordinates):
1 Pr 0.0000 0.0000 0.0000  6 Cu 3.13, 6 Si 3.13
2 Pr 0.0000 0.0000 0.5000  6 Cu 3.13, 6 Si 3.13
3 Cu 0.3333 0.6667 0.2500  3 Si 2.40
4 Cu 0.6667 0.3333 0.7500  3 Si 2.40
5 Si 0.3333 0.6667 0.7500  3 Cu 2.40
6 Si 0.6667 0.3333 0.2500  3 Cu 2.40

(5)
Here is YLuTe3 at its PBEsol-relaxed geometry from Alexandria. Energies are from SCAN.

Computed properties:
- magnetic moment (μB per atom) = 0.0000
- crystal system = monoclinic
- formation energy from raw total energies (eV per atom) = -1.54

Lattice parameters (Å, degrees): 7.3431 7.3431 7.3976 99.49 99.49 120.17
Last column: nearest neighbours and their distance in Å.
Atoms (fractional coordinates):
1 Y 0.0000 0.0000 0.0000  6 Te 3.01-3.02
2 Y 0.8372 0.1628 0.5000  6 Te 3.03-3.05
3 Lu 0.1664 0.8336 0.5000  6 Te 3.00
4 Lu 0.5023 0.4977 0.5000  6 Te 2.99-3.00
5 Te 0.0918 0.4228 0.2498  2 Lu 3.00, 2 Y 3.02-3.05
6 Te 0.2618 0.2518 0.7550  2 Lu 2.99-3.00, 2 Y 3.01-3.05
7 Te 0.4177 0.0812 0.2504  2 Lu 3.00, 2 Y 3.02-3.03
8 Te 0.5772 0.9082 0.7502  2 Lu 3.00, 2 Y 3.02-3.05
9 Te 0.7482 0.7382 0.2450  2 Lu 2.99-3.00, 2 Y 3.01-3.05
10 Te 0.9188 0.5823 0.7496  2 Lu 3.00, 2 Y 3.02-3.03

(6)
Here is SbAs2Au at its PBEsol-relaxed geometry from Alexandria. Energies are from SCAN.

Computed properties:
- magnetic moment (μB per atom) = 0.0001
- crystal system = trigonal
- formation energy from raw total energies (eV per atom) = 0.01

Lattice parameters (Å, degrees): 3.9452 3.9452 18.7354 90.00 90.00 120.00
Last column: nearest neighbours and their distance in Å.
Atoms (fractional coordinates):
1 Sb 0.0000 0.0000 0.0000  6 As 2.86
2 Sb 0.3333 0.6667 0.6667  6 As 2.86
3 Sb 0.6667 0.3333 0.3333  6 As 2.86
4 As 0.0000 0.0000 0.2408  3 Au 2.67, 3 Sb 2.86
5 As 0.0000 0.0000 0.7592  3 Au 2.67, 3 Sb 2.86
6 As 0.3333 0.6667 0.4259  3 Au 2.67, 3 Sb 2.86
7 As 0.3333 0.6667 0.9075  3 Au 2.67, 3 Sb 2.86
8 As 0.6667 0.3333 0.0925  3 Au 2.67, 3 Sb 2.86
9 As 0.6667 0.3333 0.5741  3 Au 2.67, 3 Sb 2.86
10 Au 0.0000 0.0000 0.5000  6 As 2.67
11 Au 0.3333 0.6667 0.1667  6 As 2.67
12 Au 0.6667 0.3333 0.8333  6 As 2.67

(7)
Here is NiSb2P at its PBEsol-relaxed geometry from Alexandria. Energies are from SCAN.

Computed properties:
- magnetic moment (μB per atom) = 0.0000
- crystal system = tetragonal
- formation energy from raw total energies (eV per atom) = 0.61

Lattice parameters (Å, degrees): 3.8425 3.8425 10.3660 90.00 90.00 90.00
Last column: nearest neighbours and their distance in Å.
Atoms (fractional coordinates):
1 Ni 0.0000 0.0000 0.0000  4 Sb 2.72
2 Ni 0.5000 0.5000 0.5000  4 Sb 2.72
3 Sb 0.0000 0.0000 0.5000  4 Ni 2.72
4 Sb 0.0000 0.5000 0.7500  4 P 2.72
5 Sb 0.5000 0.0000 0.2500  4 P 2.72
6 Sb 0.5000 0.5000 0.0000  4 Ni 2.72
7 P 0.0000 0.5000 0.2500  4 Sb 2.72
8 P 0.5000 0.0000 0.7500  4 Sb 2.72

(8)
Here is RbSrTeI2 at its PBEsol-relaxed geometry from Alexandria. Energies are from SCAN.

Computed properties:
- magnetic moment (μB per atom) = 0.2003
- offset from the most stable computed form (meV/atom) = 0
- crystal system = tetragonal
- formation energy from raw total energies (eV per atom) = -1.28

Lattice parameters (Å, degrees): 6.3159 6.3159 6.3074 90.00 90.00 90.00
Last column: nearest neighbours and their distance in Å.
Atoms (fractional coordinates):
1 Rb 0.0000 0.0000 0.0000  8 I 4.46, 4 Te 4.47
2 Sr 0.5000 0.5000 0.5000  2 Te 3.15, 4 I 3.16
3 Te 0.5000 0.5000 0.0000  2 Sr 3.15
4 I 0.0000 0.5000 0.5000  2 Sr 3.16
5 I 0.5000 0.0000 0.5000  2 Sr 3.16

(9)
Here is BaLa4TiCr4O15 at its PBEsol-relaxed geometry from Alexandria. Energies are from SCAN.

Computed properties:
- magnetic moment (μB per atom) = 0.4800
- crystal system = orthorhombic
- formation energy from raw total energies (eV per atom) = -3.26

Lattice parameters (Å, degrees): 13.9272 13.9272 3.8725 90.00 90.00 157.26
Last column: nearest neighbours and their distance in Å.
Atoms (fractional coordinates):
1 Ba 0.0000 0.0000 0.0000  12 O 2.75-2.92
2 La 0.1995 0.8005 0.0000  12 O 2.53-2.77
3 La 0.3961 0.6039 0.0000  12 O 2.60-2.84
4 La 0.6039 0.3961 0.0000  12 O 2.60-2.84
5 La 0.8005 0.1995 0.0000  12 O 2.53-2.77
6 Ti 0.5000 0.5000 0.5000  6 O 1.94-1.95
7 Cr 0.1003 0.8997 0.5000  6 O 1.93-1.95
8 Cr 0.2994 0.7006 0.5000  6 O 1.92-1.94
9 Cr 0.7006 0.2994 0.5000  6 O 1.92-1.94
10 Cr 0.8997 0.1003 0.5000  6 O 1.93-1.95
11 O 0.0000 0.5000 0.5000  2 Cr 1.92
12 O 0.0994 0.4012 0.5000  2 Cr 1.93-1.95
13 O 0.1069 0.8931 0.0000  2 Cr 1.94
14 O 0.2075 0.3133 0.5000  1 Cr 1.93, 1 Ti 1.95
15 O 0.3011 0.6989 0.0000  2 Cr 1.94
16 O 0.3133 0.2075 0.5000  1 Cr 1.93, 1 Ti 1.95
17 O 0.4012 0.0994 0.5000  2 Cr 1.93-1.95
18 O 0.5000 0.0000 0.5000  2 Cr 1.92
19 O 0.5000 0.5000 0.0000  2 Ti 1.94
20 O 0.5988 0.9006 0.5000  2 Cr 1.93-1.95
21 O 0.6867 0.7925 0.5000  1 Cr 1.93, 1 Ti 1.95
22 O 0.6989 0.3011 0.0000  2 Cr 1.94
23 O 0.7925 0.6867 0.5000  1 Cr 1.93, 1 Ti 1.95
24 O 0.8931 0.1069 0.0000  2 Cr 1.94
25 O 0.9006 0.5988 0.5000  2 Cr 1.93-1.95

(10)
Here is La2HfSe5 at its PBEsol-relaxed geometry from Alexandria. Energies are from SCAN.

Computed properties:
- magnetic moment (μB per atom) = 0.0000
- crystal system = orthorhombic
- formation energy from raw total energies (eV per atom) = -2.00

Lattice parameters (Å, degrees): 11.7352 8.5166 7.6153 90.00 90.00 90.00
Last column: nearest neighbours and their distance in Å.
Atoms (fractional coordinates):
1 La 0.1704 0.0001 0.0669  8 Se 2.97-3.20
2 La 0.1704 0.4999 0.0669  8 Se 2.97-3.20
3 La 0.3296 0.9999 0.5669  8 Se 2.97-3.20
4 La 0.3296 0.5001 0.5669  8 Se 2.97-3.20
5 La 0.6704 0.0001 0.4331  8 Se 2.97-3.20
6 La 0.6704 0.4999 0.4331  8 Se 2.97-3.20
7 La 0.8296 0.9999 0.9331  8 Se 2.97-3.20
8 La 0.8296 0.5001 0.9331  8 Se 2.97-3.20
9 Hf 0.0109 0.2500 0.5745  7 Se 2.66-2.82
10 Hf 0.4891 0.7500 0.0745  7 Se 2.66-2.82
11 Hf 0.5109 0.2500 0.9255  7 Se 2.66-2.82
12 Hf 0.9891 0.7500 0.4255  7 Se 2.66-2.82
13 Se 0.0063 0.2500 0.9421  1 Hf 2.80, 4 La 2.97-3.02
14 Se 0.0686 0.5376 0.6819  2 Hf 2.67-2.82
15 Se 0.0686 0.9624 0.6819  2 Hf 2.67-2.82
16 Se 0.1951 0.2500 0.3631  1 Hf 2.70
17 Se 0.2101 0.7500 0.3472  1 Hf 2.66
18 Se 0.2899 0.2500 0.8472  1 Hf 2.66
19 Se 0.3049 0.7500 0.8631  1 Hf 2.70
20 Se 0.4314 0.0376 0.1819  2 Hf 2.67-2.82
21 Se 0.4314 0.4624 0.1819  2 Hf 2.67-2.82
22 Se 0.4937 0.7500 0.4421  1 Hf 2.80, 4 La 2.97-3.02
23 Se 0.5063 0.2500 0.5579  1 Hf 2.80, 4 La 2.97-3.02
24 Se 0.5686 0.5376 0.8181  2 Hf 2.67-2.82
25 Se 0.5686 0.9624 0.8181  2 Hf 2.67-2.82
26 Se 0.6951 0.2500 0.1369  1 Hf 2.70
27 Se 0.7101 0.7500 0.1528  1 Hf 2.66
28 Se 0.7899 0.2500 0.6528  1 Hf 2.66
29 Se 0.8049 0.7500 0.6369  1 Hf 2.70
30 Se 0.9314 0.0376 0.3181  2 Hf 2.67-2.82
31 Se 0.9314 0.4624 0.3181  2 Hf 2.67-2.82
32 Se 0.9937 0.7500 0.0579  1 Hf 2.80, 4 La 2.97-3.02

(11)
Here is Sn2Pd3Au at its PBEsol-relaxed geometry from Alexandria. Energies are from SCAN.

Computed properties:
- magnetic moment (μB per atom) = 0.0000
- crystal system = trigonal
- energy of formation from the pure elements (eV per atom) = -0.3601

Lattice parameters (Å, degrees): 4.5526 4.5526 5.6464 90.00 90.00 120.00
Last column: nearest neighbours and their distance in Å.
Atoms (fractional coordinates):
1 Sn 0.3333 0.6667 0.2110  8 Pd 2.66-2.89
2 Sn 0.6667 0.3333 0.7890  8 Pd 2.66-2.89
3 Pd 0.0000 0.0000 0.0000  2 Au 2.82, 6 Sn 2.89, 6 Pd 3.09
4 Pd 0.3333 0.6667 0.7139  5 Sn 2.66-2.84, 3 Au 2.89
5 Pd 0.6667 0.3333 0.2861  5 Sn 2.66-2.84, 3 Au 2.89
6 Au 0.0000 0.0000 0.5000  8 Pd 2.82-2.89, 6 Sn 3.09

(12)
Here is BaNb2SbF at its PBEsol-relaxed geometry from Alexandria. Energies are from SCAN.

Computed properties:
- magnetic moment (μB per atom) = 0.4664
- crystal system = tetragonal
- formation energy from raw total energies (eV per atom) = -0.10

Lattice parameters (Å, degrees): 4.5225 4.5225 5.0675 90.00 90.00 90.00
Last column: nearest neighbours and their distance in Å.
Atoms (fractional coordinates):
1 Ba 0.0000 0.0000 0.0000  2 F 2.53
2 Nb 0.0000 0.5000 0.5000  2 F 2.26
3 Nb 0.5000 0.0000 0.5000  2 F 2.26
4 Sb 0.5000 0.5000 0.0000  4 Ba 3.20, 8 Nb 3.40
5 F 0.0000 0.0000 0.5000  4 Nb 2.26

> What is the formula in the fifth record?

YLuTe3